{
  "formula": "Mg2ScO",
  "functional": "GGA-PBEsol",
  "state": "relaxed",
  "volume_a3_per_atom": 20.81,
  "formation_energy_uncorrected_ev_per_atom": -0.807,
  "cell": [[6.149, 0.002, 0.002], [-2.998, 5.369, -0.002], [-2.998, -1.851, 5.040]],
  "species": ["Mg", "O", "Mg", "Sc", "O", "Sc", "Mg", "Mg"],
  "frac_coords": [[0.813, 0.375, 0.688], [0.000, 0.500, 0.500], [0.187, 0.875, 0.562], [0.500, 0.750, 0.250], [0.500, 0.250, 0.750], [0.000, 0.000, 0.000], [0.313, 0.438, 0.625], [0.687, 0.312, 0.125]]
}

***

{
  "formula": "Mg4Sc3Si8O24",
  "functional": "GGA-PBEsol",
  "state": "relaxed",
  "volume_a3_per_atom": 11.50,
  "formation_energy_uncorrected_ev_per_atom": -2.903,
  "cell": [[-2.972, -4.416, 0.872], [-0.895, -1.126, -8.753], [7.798, -5.194, -0.129]],
  "species": ["O", "O", "Si", "O", "O", "Si", "O", "Mg", "O", "O", "O", "O", "Sc", "O", "O", "O", "Si", "Sc", "O", "Si", "O", "O", "O", "Si", "O", "O", "Si", "Mg", "Si", "O", "O", "O", "O", "O", "O", "Si", "Mg", "Mg", "Sc"],
  "frac_coords": [[0.338, 0.098, 0.878], [0.169, 0.402, 0.381], [0.333, 0.588, 0.790], [0.657, 0.587, 0.386], [0.821, 0.756, 0.618], [0.676, 0.092, 0.296], [0.343, 0.587, 0.614], [0.500, 0.398, 0.500], [0.563, 0.479, 0.850], [0.049, 0.023, 0.648], [0.179, 0.756, 0.382], [0.437, 0.479, 0.150], [0.500, 0.886, 0.000], [0.644, 0.756, 0.150], [0.951, 0.023, 0.352], [0.180, 0.251, 0.121], [0.819, 0.914, 0.705], [0.000, 0.088, 0.000], [0.179, 0.921, 0.123], [0.667, 0.588, 0.210], [0.549, 0.981, 0.644], [0.078, 0.506, 0.844], [0.662, 0.098, 0.122], [0.324, 0.092, 0.704], [0.821, 0.921, 0.877], [0.318, 0.249, 0.620], [0.181, 0.914, 0.295], [0.500, 0.275, 0.000], [0.834, 0.410, 0.794], [0.831, 0.402, 0.619], [0.682, 0.249, 0.380], [0.451, 0.981, 0.356], [0.356, 0.756, 0.850], [0.820, 0.251, 0.879], [0.922, 0.506, 0.156], [0.166, 0.410, 0.206], [0.500, 0.765, 0.500], [0.000, 0.232, 0.500], [0.000, 0.593, 0.500]]
}

***

{
  "formula": "Mg2SiO4",
  "functional": "GGA-PBEsol",
  "state": "relaxed",
  "relative_energy_ev_per_atom": 0.0525,
  "volume_a3_per_atom": 9.44,
  "formation_energy_uncorrected_ev_per_atom": -2.801,
  "cell": [[-5.209, -2.277, 0.613], [-1.007, -3.747, 4.200], [-3.270, 1.498, 4.445]],
  "species": ["Mg", "O", "O", "Mg", "Si", "Si", "O", "Mg", "O", "O", "O", "O", "O", "Mg"],
  "frac_coords": [[0.625, 0.625, 0.125], [0.358, 0.881, 0.881], [0.369, 0.369, 0.369], [0.625, 0.125, 0.625], [0.000, 0.000, 0.000], [0.250, 0.250, 0.250], [0.892, 0.369, 0.369], [0.625, 0.625, 0.625], [0.881, 0.881, 0.881], [0.881, 0.358, 0.881], [0.881, 0.881, 0.358], [0.369, 0.369, 0.892], [0.369, 0.892, 0.369], [0.125, 0.625, 0.625]]
}